# 1
VASP calculation (PBE) on a geometry-optimized Zn2CuAu4 structure.

Computed properties:
The total moment comes out at 0.00 μB/cell. Its density of states at the Fermi level is 0.2795 states/eV/atom. The excess energy over the best structure of this formula in the dataset is 0.058 eV per atom. For the formation enthalpy at 0 K, the calculation gives -0.0740 eV/atom.

Structure (CIF):
```
data_Zn2CuAu4
_chemical_formula_sum 'Zn4 Cu2 Au8'
_cell_length_a 6.854
_cell_length_b 5.609
_cell_length_c 7.016
_cell_angle_alpha 90.00
_cell_angle_beta 118.63
_cell_angle_gamma 90.00
_symmetry_space_group_name_H-M 'P 1 21/m 1'
_symmetry_Int_Tables_number 11
_symmetry_space_group_name_Hall '-P 2yb'
loop_
_atom_site_label
_atom_site_type_symbol
_atom_site_fract_x
_atom_site_fract_y
_atom_site_fract_z
_atom_site_occupancy
Zn1 Zn 0.067 0.250 0.361 1
Zn2 Zn 0.250 0.750 0.073 1
Cu1 Cu 0.073 0.750 0.364 1
Au1 Au 0.185 0.250 0.056 1
Au2 Au 0.319 0.501 0.763 1
Au3 Au 0.498 0.750 0.498 1
```

---

# 2
VASP calculation (PBE) on a geometry-optimized CePmRh structure.

Computed properties:
The total moment comes out at 0.35 μB/cell. Its density of states at the Fermi level is 1.8586 states/eV/atom. The excess energy over the best structure of this formula in the dataset is 0.176 eV per atom. For the formation enthalpy at 0 K, the calculation gives -0.3154 eV/atom.

Structure (CIF):
```
data_CePmRh
_chemical_formula_sum 'Ce1 Pm1 Rh1'
_cell_length_a 4.5865
_cell_length_b 4.5865
_cell_length_c 4.0119
_cell_angle_alpha 90.00
_cell_angle_beta 90.00
_cell_angle_gamma 120.00
_symmetry_space_group_name_H-M 'P 3 m 1'
_symmetry_Int_Tables_number 156
_symmetry_space_group_name_Hall 'P 3 -2"'
loop_
_atom_site_label
_atom_site_type_symbol
_atom_site_fract_x
_atom_site_fract_y
_atom_site_fract_z
_atom_site_occupancy
Ce1 Ce 0.0000 0.0000 0.0000 1
Pm1 Pm 0.3333 0.6667 0.5931 1
Rh1 Rh 0.6667 0.3333 0.2664 1
```

---

# 3
VASP calculation (PBE) on a geometry-optimized TbTmTe2O structure.

Computed properties:
The total moment comes out at 0.00 μB/cell. The formation energy (no corrections) is -2058 meV per atom. Its density of states at the Fermi level is 0.2712 states/eV/atom.

Structure (CIF):
```
data_TbTmTe2O
_chemical_formula_sum 'Tb2 Tm2 Te4 O2'
_cell_length_a 4.117
_cell_length_b 4.117
_cell_length_c 15.633
_cell_angle_alpha 90.00
_cell_angle_beta 90.00
_cell_angle_gamma 90.00
_symmetry_space_group_name_H-M 'P 4/n m m'
_symmetry_Int_Tables_number 129
loop_
_symmetry_equiv_pos_as_xyz
'x,y,z'
'-x,-y,-z'
'-y+1/2,x,z'
'y+1/2,-x,-z'
'-x+1/2,-y+1/2,z'
'x+1/2,y+1/2,-z'
'y,-x+1/2,z'
'-y,x+1/2,-z'
'x+1/2,-y,-z'
'-x+1/2,y,z'
'-y,-x,-z'
'y,x,z'
'-x,y+1/2,-z'
'x,-y+1/2,z'
'y+1/2,x+1/2,-z'
'-y+1/2,-x+1/2,z'
loop_
_atom_site_label
_atom_site_type_symbol
_atom_site_fract_x
_atom_site_fract_y
_atom_site_fract_z
_atom_site_occupancy
Tb1 Tb 0.250 0.250 0.067 1
Tm1 Tm 0.250 0.250 0.632 1
Te1 Te 0.250 0.250 0.417 1
Te2 Te 0.250 0.250 0.813 1
O1 O 0.250 0.750 0.000 1
```

---

# 4
VASP calculation (PBE) on a geometry-optimized VZnHS2 structure.

Computed properties:
The total moment comes out at 2.44 μB/cell. Its density of states at the Fermi level is 0.5250 states/eV/atom. The total energy comes out at -4.115 eV/atom.

Structure (CIF):
```
data_VZnHS2
_chemical_formula_sum 'V1 Zn1 H1 S2'
_cell_length_a 4.489
_cell_length_b 4.489
_cell_length_c 3.260
_cell_angle_alpha 90.00
_cell_angle_beta 90.00
_cell_angle_gamma 90.00
_symmetry_space_group_name_H-M 'P 4/m m m'
_symmetry_Int_Tables_number 123
_symmetry_space_group_name_Hall '-P 4 2'
loop_
_atom_site_label
_atom_site_type_symbol
_atom_site_fract_x
_atom_site_fract_y
_atom_site_fract_z
_atom_site_occupancy
V1 V 0.000 0.000 0.000 1
Zn1 Zn 0.500 0.500 0.000 1
H1 H 0.500 0.500 0.500 1
S1 S 0.000 0.500 0.500 1
```